The following is a DFT calculation (GGA+U) of FeBNO2 after structural relaxation.

Its total energy is -24.8 eV for the cell shown.

Cell: 3.7841 3.7841 3.8808 Å, 90.00 90.00 90.00°
Last column: magnetic moment on the atom in μB.
Atoms (fractional coordinates):
B  0.5000  0.5000  0.5000  -0.04
Fe  0.0000  0.0000  0.0000  3.79
O  0.0000  0.5000  0.0000  -0.14
O  0.5000  0.0000  0.0000  -0.14
N  0.0000  0.0000  0.5000  -1.02